(1)
Density functional theory data (PBE) for a relaxed K7PbO2 crystal.

```
K7PbO2
1.0
4.2790 -7.3245 0.0000
4.2790 7.3245 0.0000
0.0000 0.0000 5.3837
K Pb O
7 1 2
Direct
0.0000 0.0000 0.0000 K
0.1617 0.4597 0.0000 K
0.1935 0.8065 0.5000 K
0.4597 0.1617 0.0000 K
0.5403 0.8383 0.0000 K
0.8065 0.1935 0.5000 K
0.8383 0.5403 0.0000 K
0.5000 0.5000 0.5000 Pb
0.1909 0.8091 0.0000 O
0.8091 0.1909 0.0000 O
```

Output
Calculated volume ... 337.46 Å³/f.u.
E_form (uncorrected) ... -0.607 eV per atom

---

(2)
Density functional theory data (PBE) for a relaxed Cs3P2H5 crystal.

```
Cs3P2H5
1.0
-3.6892 9.2560 3.5805
3.6892 -9.2560 3.5805
3.6892 9.2560 -3.5805
Cs P H
6 4 10
Direct
0.1375 0.5946 0.7320 Cs
0.2500 0.2500 0.0000 Cs
0.3625 0.0946 0.4571 Cs
0.6375 0.9054 0.5429 Cs
0.7500 0.7500 0.0000 Cs
0.8625 0.4054 0.2680 Cs
0.1671 0.0627 0.2298 P
0.3329 0.5627 0.8955 P
0.6671 0.4373 0.1045 P
0.8329 0.9373 0.7702 P
0.0907 0.2500 0.8407 H
0.1084 0.1911 0.2996 H
0.2500 0.7500 0.5000 H
0.3916 0.6911 0.0827 H
0.4093 0.2500 0.1593 H
0.5907 0.7500 0.8407 H
0.6084 0.3089 0.9173 H
0.7500 0.2500 0.5000 H
0.8916 0.8089 0.7004 H
0.9093 0.7500 0.1593 H
```

Output
Calculated volume ... 244.53 Å³/f.u.
Electronic total energy ... -3.07 eV/atom